## KLiTl2O4 (PBE)

Data for crystalline KLiTl2O4 at its relaxed geometry.

Output
The value obtained for the total DFT energy (no corrections) is -4.513 eV per atom. The calculation puts the total magnetization at 0.0000 μB/atom.

Lattice parameters (Å, degrees): 3.484 6.021 11.618 90.00 90.00 106.82
Sites, in units of the cell vectors:
K  0.100  0.200  0.750
K  0.900  0.800  0.250
Li  0.829  0.659  0.750
Li  0.171  0.341  0.250
Tl  0.366  0.731  0.557
Tl  0.634  0.269  0.057
Tl  0.634  0.269  0.443
Tl  0.366  0.731  0.943
O  0.259  0.518  0.107
O  0.741  0.482  0.607
O  0.741  0.482  0.893
O  0.259  0.518  0.393
O  0.000  0.000  0.500
O  0.000  0.000  0.000
O  0.413  0.826  0.750
O  0.587  0.174  0.250